PBE-GGA Nd3Y2Mg3, relaxed; space-group type = Immm; DOS at the Fermi energy = 1.29 states/eV/atom; M_tot = 0.00 μB/f.u.; ΔH_f (0 K) = -0.07 eV/atom; uncorrected energy = -4.08 eV/atom
1.0
-3.224 1.218 1.658
-1.690 -5.274 0.588
7.501 1.545 9.042
Nd Y Mg
3 2 3
Cartesian
-1.612 0.609 0.829
3.782 -0.362 7.622
-1.195 -2.149 3.666
1.825 -2.892 5.675
0.762 0.382 5.613
-0.845 -2.637 0.294
1.202 -0.115 2.421
1.386 -2.396 8.866